1.
GdFe3B, relaxed, DFT PBE; E_form = -0.059 eV per atom; uncorrected energy = -9.288 eV/atom; magnetization = 0.609 μB per atom
1.0
4.022 0.000 0.000
0.000 4.022 0.000
0.000 0.000 4.022
Gd Fe B
1 3 1
direct
0.000 0.000 0.000
0.000 0.500 0.500
0.500 0.000 0.500
0.500 0.500 0.000
0.500 0.500 0.500

---

2.
FeGeB3, relaxed, DFT PBE; E_form = 0.991 eV per atom; uncorrected energy = -5.632 eV/atom; magnetization = 0.200 μB per atom
1.0
3.850 0.000 0.000
0.000 3.850 0.000
0.000 0.000 3.850
Fe Ge B
1 1 3
direct
0.000 0.000 0.000
0.500 0.500 0.500
0.000 0.000 0.500
0.000 0.500 0.000
0.500 0.000 0.000

---

3.
Fe5GeB2, relaxed, DFT PBE; E_form = -0.237 eV per atom; uncorrected energy = -7.772 eV/atom; magnetization = 1.122 μB per atom
1.0
-2.776 2.776 5.262
2.776 -2.776 5.262
2.776 2.776 -5.262
Fe Ge B
10 2 4
direct
0.000 0.000 0.000
0.036 0.536 0.835
0.200 0.036 0.500
0.300 0.800 0.835
0.464 0.300 0.500
0.500 0.500 0.000
0.536 0.700 0.500
0.700 0.200 0.165
0.800 0.964 0.500
0.964 0.464 0.165
0.250 0.250 0.000
0.750 0.750 0.000
0.120 0.380 0.500
0.380 0.880 0.261
0.620 0.120 0.739
0.880 0.620 0.500

---

4.
Fe4GeB2, relaxed, DFT PBE; E_form = 0.901 eV per atom; uncorrected energy = -6.503 eV/atom; magnetization = 1.312 μB per atom
1.0
-2.149 2.149 5.155
2.149 -2.149 5.155
2.149 2.149 -5.155
Fe Ge B
4 1 2
direct
0.000 0.500 0.500
0.235 0.235 0.000
0.500 0.000 0.500
0.765 0.765 0.000
0.000 0.000 0.000
0.422 0.422 0.000
0.578 0.578 0.000

---

5.
FeGeB, relaxed, DFT PBE; E_form = 0.235 eV per atom; uncorrected energy = -6.351 eV/atom; magnetization = 0.253 μB per atom
1.0
-1.412 1.412 4.017
1.412 -1.412 4.017
1.412 1.412 -4.017
Fe Ge B
1 1 1
direct
0.000 0.000 0.000
0.704 0.704 0.000
0.417 0.417 0.000

---

6.
Fe2GeB, relaxed, DFT PBE; E_form = 0.178 eV per atom; uncorrected energy = -6.877 eV/atom; magnetization = 0.741 μB per atom
1.0
-3.100 3.100 2.332
3.100 -3.100 2.332
3.100 3.100 -2.332
Fe Ge B
4 2 2
direct
0.043 0.625 0.918
0.375 0.293 0.418
0.707 0.125 0.082
0.875 0.957 0.582
0.250 0.750 0.500
0.500 0.500 0.000
0.000 0.000 0.000
0.750 0.250 0.500

---

7.
FeGeB2, relaxed, DFT PBE; E_form = 1.038 eV per atom; uncorrected energy = -5.571 eV/atom; magnetization = 0.000 μB per atom
1.0
0.000 2.653 2.653
2.653 0.000 2.653
2.653 2.653 0.000
Fe Ge B
1 1 2
direct
0.000 0.000 0.000
0.500 0.500 0.500
0.250 0.250 0.250
0.750 0.750 0.750

---

8.
FeGeB2, relaxed, DFT PBE; E_form = 0.745 eV per atom; uncorrected energy = -5.864 eV/atom; magnetization = 0.297 μB per atom
1.0
-2.383 2.383 4.510
2.383 -2.383 4.510
2.383 2.383 -4.510
Fe Ge B
2 2 4
direct
0.000 0.000 0.000
0.750 0.250 0.500
0.250 0.750 0.500
0.500 0.500 0.000
0.093 0.625 0.968
0.375 0.343 0.468
0.657 0.125 0.032
0.875 0.907 0.532

---

9.
Fe2GeB, relaxed, DFT PBE; E_form = 0.199 eV per atom; uncorrected energy = -6.856 eV/atom; magnetization = 0.061 μB per atom
1.0
0.000 2.703 2.703
2.703 0.000 2.703
2.703 2.703 0.000
Fe Ge B
2 1 1
direct
0.250 0.250 0.250
0.750 0.750 0.750
0.000 0.000 0.000
0.500 0.500 0.500